## Sr2Ac6CoRu (PBE)

Data for a geometry-optimized Sr2Ac6CoRu structure.

Computed properties:
**Magnetic moment**: 0.0 μB/f.u.
**Calculated density**: 6.95 g cm⁻³
**Energy of formation from the pure elements**: -0.07 eV/atom
**Calculated total energy**: -4.5062 eV/atom
**V**: 405.6 Å³/f.u.

CIF file:
```
data_Sr2Ac6CoRu
_cell_length_a 11.743
_cell_length_b 11.758
_cell_length_c 11.749
_cell_angle_alpha 90.00
_cell_angle_beta 90.00
_cell_angle_gamma 90.00
_symmetry_space_group_name_H-M 'F m m 2'
_symmetry_Int_Tables_number 42
_symmetry_space_group_name_Hall 'F 2 -2'
loop_
_atom_site_label
_atom_site_type_symbol
_atom_site_fract_x
_atom_site_fract_y
_atom_site_fract_z
Sr1 Sr 0.250 0.250 0.000
Ac1 Ac 0.000 0.000 0.002
Ac2 Ac 0.000 0.000 0.498
Ac3 Ac 0.000 0.248 0.250
Ac4 Ac 0.248 0.000 0.250
Co1 Co 0.000 0.000 0.250
Ru1 Ru 0.000 0.000 0.750
```

***

## VGa3Ni12 (PBE)

Data for a geometry-optimized VGa3Ni12 structure.

Computed properties:
**Magnetic moment**: 1.2 μB/f.u.
**Calculated density**: 8.78 g cm⁻³
**Energy of formation from the pure elements**: -0.30 eV/atom
**Calculated total energy**: -5.7727 eV/atom
**V**: 182.5 Å³/f.u.

CIF file:
```
data_VGa3Ni12
_cell_length_a 3.576
_cell_length_b 3.576
_cell_length_c 14.268
_cell_angle_alpha 90.00
_cell_angle_beta 90.00
_cell_angle_gamma 90.00
_symmetry_space_group_name_H-M 'P 4/m m m'
_symmetry_Int_Tables_number 123
_symmetry_space_group_name_Hall '-P 4 2'
loop_
_atom_site_label
_atom_site_type_symbol
_atom_site_fract_x
_atom_site_fract_y
_atom_site_fract_z
V1 V 0.000 0.000 0.000
Ga1 Ga 0.000 0.000 0.251
Ga2 Ga 0.000 0.000 0.500
Ni1 Ni 0.000 0.500 0.121
Ni2 Ni 0.000 0.500 0.374
Ni3 Ni 0.500 0.500 0.000
Ni4 Ni 0.500 0.500 0.248
Ni5 Ni 0.500 0.500 0.500
```

***

## GaIr3W (PBE)

Data for a geometry-optimized GaIr3W structure.

Computed properties:
**Magnetic moment**: 0.0 μB/f.u.
**Relative energy among the computed polymorphs**: 65.7 meV per atom
**Calculated density**: 12.59 g cm⁻³
**Energy of formation from the pure elements**: 1.55 eV/atom
**Calculated total energy**: -6.9616 eV/atom
**V**: 109.5 Å³/f.u.

CIF file:
```
data_GaIr3W
_cell_length_a 4.784
_cell_length_b 4.784
_cell_length_c 4.784
_cell_angle_alpha 90.00
_cell_angle_beta 90.00
_cell_angle_gamma 90.00
_symmetry_space_group_name_H-M 'P m -3 m'
_symmetry_Int_Tables_number 221
_symmetry_space_group_name_Hall '-P 4 2 3'
loop_
_atom_site_label
_atom_site_type_symbol
_atom_site_fract_x
_atom_site_fract_y
_atom_site_fract_z
Ga1 Ga 0.000 0.000 0.000
Ir1 Ir 0.000 0.500 0.500
W1 W 0.500 0.500 0.500
```

***

## TcW2Cl (PBE)

Data for a geometry-optimized TcW2Cl structure.

Computed properties:
**Magnetic moment**: 0.0 μB/f.u.
**Relative energy among the computed polymorphs**: 385.4 meV per atom
**Calculated density**: 13.73 g cm⁻³
**Uncorrected formation energy**: 0.75 eV per atom
**Calculated total energy**: -8.7805 eV/atom
**V**: 60.6 Å³/f.u.

CIF file:
```
data_TcW2Cl
_cell_length_a 2.941
_cell_length_b 4.531
_cell_length_c 9.098
_cell_angle_alpha 90.00
_cell_angle_beta 90.00
_cell_angle_gamma 90.00
_symmetry_space_group_name_H-M 'I m m m'
_symmetry_Int_Tables_number 71
_symmetry_space_group_name_Hall '-I 2 2'
loop_
_atom_site_label
_atom_site_type_symbol
_atom_site_fract_x
_atom_site_fract_y
_atom_site_fract_z
Tc1 Tc 0.000 0.000 0.000
W1 W 0.000 0.500 0.229
Cl1 Cl 0.000 0.000 0.500
```

***

## CoNi14Ru (PBE)

Data for a geometry-optimized CoNi14Ru structure.

Computed properties:
**Magnetic moment**: 11.4 μB/f.u.
**Calculated density**: 9.15 g cm⁻³
**Energy of formation from the pure elements**: 0.04 eV/atom
**Calculated total energy**: -6.0395 eV/atom
**V**: 178.2 Å³/f.u.

CIF file:
```
data_CoNi14Ru
_cell_length_a 8.193
_cell_length_b 5.009
_cell_length_c 8.687
_cell_angle_alpha 90.00
_cell_angle_beta 90.00
_cell_angle_gamma 90.00
_symmetry_space_group_name_H-M 'A m m 2'
_symmetry_Int_Tables_number 38
loop_
_symmetry_equiv_pos_as_xyz
'x,y,z'
'-x,-y,z'
'-x,y,z'
'x,-y,z'
'x,y+1/2,z+1/2'
'-x,-y+1/2,z+1/2'
'-x,y+1/2,z+1/2'
'x,-y+1/2,z+1/2'
loop_
_atom_site_label
_atom_site_type_symbol
_atom_site_fract_x
_atom_site_fract_y
_atom_site_fract_z
Co1 Co 0.000 0.000 0.000
Ni1 Ni 0.000 0.249 0.752
Ni2 Ni 0.249 0.000 0.166
Ni3 Ni 0.252 0.248 0.917
Ni4 Ni 0.253 0.000 0.668
Ni5 Ni 0.500 0.000 0.334
Ni6 Ni 0.500 0.000 0.834
Ni7 Ni 0.500 0.250 0.084
Ru1 Ru 0.000 0.000 0.501
```

***

## Th2SnAu3 (PBE)

Data for a geometry-optimized Th2SnAu3 structure.

Computed properties:
**Magnetic moment**: 0.0 μB/f.u.
**Relative energy among the computed polymorphs**: 139.8 meV per atom
**Calculated density**: 12.65 g cm⁻³
**Energy of formation from the pure elements**: -0.53 eV/atom
**Calculated total energy**: -5.3076 eV/atom
**V**: 154.0 Å³/f.u.

CIF file:
```
data_Th2SnAu3
_cell_length_a 3.702
_cell_length_b 4.683
_cell_length_c 17.767
_cell_angle_alpha 90.00
_cell_angle_beta 90.00
_cell_angle_gamma 90.00
_symmetry_space_group_name_H-M 'I m m 2'
_symmetry_Int_Tables_number 44
loop_
_symmetry_equiv_pos_as_xyz
'x,y,z'
'-x,-y,z'
'-x,y,z'
'x,-y,z'
'x+1/2,y+1/2,z+1/2'
'-x+1/2,-y+1/2,z+1/2'
'-x+1/2,y+1/2,z+1/2'
'x+1/2,-y+1/2,z+1/2'
loop_
_atom_site_label
_atom_site_type_symbol
_atom_site_fract_x
_atom_site_fract_y
_atom_site_fract_z
Th1 Th 0.000 0.000 0.000
Th2 Th 0.000 0.500 0.223
Sn1 Sn 0.000 0.000 0.413
Au1 Au 0.000 0.000 0.572
Au2 Au 0.000 0.500 0.650
Au3 Au 0.000 0.500 0.803
```

***

## Co3Hg5 (PBE)

Data for a geometry-optimized Co3Hg5 structure.

Computed properties:
**Magnetic moment**: 4.2 μB/f.u.
**Relative energy among the computed polymorphs**: 200.7 meV per atom
**Calculated density**: 13.44 g cm⁻³
**Energy of formation from the pure elements**: 0.53 eV/atom
**Calculated total energy**: -2.3200 eV/atom
**V**: 145.7 Å³/f.u.

CIF file:
```
data_Co3Hg5
_cell_length_a 7.7356
_cell_length_b 7.7356
_cell_length_c 5.6240
_cell_angle_alpha 90.00
_cell_angle_beta 90.00
_cell_angle_gamma 120.00
_symmetry_space_group_name_H-M 'P 63/m c m'
_symmetry_Int_Tables_number 193
_symmetry_space_group_name_Hall '-P 6c 2'
loop_
_atom_site_label
_atom_site_type_symbol
_atom_site_fract_x
_atom_site_fract_y
_atom_site_fract_z
Co1 Co 0.0000 0.4063 0.2500
Hg1 Hg 0.0000 0.2353 0.7500
Hg2 Hg 0.3333 0.6667 0.0000
```

***

## NaInSbPb (PBE)

Data for a geometry-optimized NaInSbPb structure.

Computed properties:
**Magnetic moment**: 0.0 μB/f.u.
**Calculated density**: 6.68 g cm⁻³
**Uncorrected formation energy**: -0.06 eV per atom
**Calculated total energy**: -3.0320 eV/atom
**V**: 116.1 Å³/f.u.

CIF file:
```
data_NaInSbPb
_cell_length_a 7.743
_cell_length_b 7.743
_cell_length_c 7.743
_cell_angle_alpha 90.00
_cell_angle_beta 90.00
_cell_angle_gamma 90.00
_symmetry_space_group_name_H-M 'F -4 3 m'
_symmetry_Int_Tables_number 216
_symmetry_space_group_name_Hall 'F -4 2 3'
loop_
_atom_site_label
_atom_site_type_symbol
_atom_site_fract_x
_atom_site_fract_y
_atom_site_fract_z
Na1 Na 0.000 0.000 0.000
In1 In 0.250 0.250 0.750
Sb1 Sb 0.250 0.250 0.250
Pb1 Pb 0.000 0.000 0.500
```

***

| no. | DOS(E_F) (states/eV/f.u.) |
| --- | --- |
| 1 | 9.16 |
| 2 | 15.36 |
| 3 | 5.59 |
| 4 | 2.46 |
| 5 | 26.69 |
| 6 | 5.12 |
| 7 | 10.46 |
| 8 | 2.82 |